Entry 1:
! NdBe5Au7 PBE optimized geometry; values from VASP
! final energy	-49.7	eV/cell
! magnetic moment	0.0	μB per formula unit
! formation energy	-0.2616	eV/atom
&SYSTEM
  ibrav = 0, nat = 13, ntyp = 3
/
ATOMIC_SPECIES
Nd 144.24 Nd.upf
Be 9.01 Be.upf
Au 196.97 Au.upf
CELL_PARAMETERS angstrom
-5.0171 0.0252 0.5405
-1.8814 -2.0768 6.1880
-2.2555 5.9643 2.3415
ATOMIC_POSITIONS angstrom
Nd -5.0089 0.0612 0.6151
Be -5.4920 0.9306 7.5440
Be -3.0523 0.9183 7.2812
Be -5.6751 4.8666 5.6613
Be -3.2354 4.8544 5.3984
Be -6.8486 3.0087 6.9559
Au -4.7063 1.3889 3.3612
Au -4.4207 2.6426 5.9544
Au -7.1197 3.3499 4.4238
Au -7.0014 0.8072 5.6401
Au -2.3079 0.8930 2.0914
Au -4.4917 -0.6009 5.4464
Au -4.7182 4.2687 3.1170

Entry 2:
! NdBeAu3 PBE optimized geometry; values from VASP
! final energy	-21.1	eV/cell
! magnetic moment	0.0	μB per formula unit
! ΔE to the lowest computed polymorph	0.000	eV per atom
! formation energy	-0.5459	eV/atom
&SYSTEM
  ibrav = 0, nat = 5, ntyp = 3
/
ATOMIC_SPECIES
Nd 144.24 Nd.upf
Be 9.01 Be.upf
Au 196.97 Au.upf
CELL_PARAMETERS angstrom
-2.3908 -1.8499 3.1108
3.3928 0.1559 2.6968
-1.0179 3.8678 4.5200
ATOMIC_POSITIONS angstrom
Nd -1.1895 2.8003 5.8904
Be 2.1076 2.5448 5.2529
Au 1.2084 0.7013 6.4872
Au 0.7068 1.5477 3.5834
Au 0.0745 -1.1242 4.5405

Entry 3:
! Nd3Be2Pd9Au PBE optimized geometry; values from VASP
! final energy	-79.2	eV/cell
! magnetic moment	0.0	μB per formula unit
! formation energy	-0.4962	eV/atom
&SYSTEM
  ibrav = 0, nat = 15, ntyp = 4
/
ATOMIC_SPECIES
Nd 144.24 Nd.upf
Be 9.01 Be.upf
Pd 106.42 Pd.upf
Au 196.97 Au.upf
CELL_PARAMETERS angstrom
-1.7884 5.3924 -3.1092
2.4171 -5.0046 -3.3249
-7.3041 -2.9359 -0.8907
ATOMIC_POSITIONS angstrom
Nd -3.7658 -3.4607 -3.8361
Nd 0.0000 0.0000 0.0000
Nd -2.9095 0.9126 -3.4888
Be 0.0738 -1.9174 -3.3678
Be -6.7492 -0.6307 -3.9570
Pd -6.1282 1.4209 -3.7727
Pd -5.0471 -0.8174 -5.2598
Pd -5.3283 -0.9909 -2.3821
Pd -1.3470 -1.5572 -4.9428
Pd -1.6282 -1.7307 -2.0651
Pd -0.5471 -3.9691 -3.5522
Pd -0.8942 2.6962 -1.5546
Pd 1.2086 -2.5023 -1.6625
Pd 0.3144 0.1939 -3.2171
Au -3.6520 -1.4680 -0.4454

Entry 4:
! Nd2Be2Pd5Au PBE optimized geometry; values from VASP
! final energy	-105.3	eV/cell
! magnetic moment	0.0	μB per formula unit
! formation energy	-0.6415	eV/atom
&SYSTEM
  ibrav = 0, nat = 20, ntyp = 4
/
ATOMIC_SPECIES
Nd 144.24 Nd.upf
Be 9.01 Be.upf
Pd 106.42 Pd.upf
Au 196.97 Au.upf
CELL_PARAMETERS angstrom
-0.2730 3.5903 0.7044
-7.2881 0.6685 -6.2320
-6.2268 -1.8629 7.0822
ATOMIC_POSITIONS angstrom
Nd -6.1171 0.1157 -2.9604
Nd -7.3978 -1.3101 3.8106
Nd -3.3076 -0.4683 1.1048
Nd -10.2073 -0.7262 -0.2546
Be -4.6304 -1.0655 3.6365
Be -8.8845 -0.1289 -2.7863
Be -9.9900 -1.2446 2.4717
Be -3.5249 0.0501 -1.6215
Pd -2.1414 1.8176 -0.5393
Pd -11.6465 0.5783 2.0939
Pd -5.4866 0.3835 5.4741
Pd -8.0729 1.4675 -1.0537
Pd -8.3013 2.0124 -3.9195
Pd -5.7151 0.9284 2.6083
Pd -8.7375 0.8354 1.9109
Pd -5.0505 1.5605 -0.3563
Pd -3.7806 2.1294 -2.7638
Pd -3.2499 0.8637 3.8933
Au 0.0000 0.0000 0.0000
Au -6.7575 -0.5972 0.4251

Entry 5:
! Nd2BePd6Au PBE optimized geometry; values from VASP
! final energy	-53.4	eV/cell
! magnetic moment	0.0	μB per formula unit
! formation energy	-0.5701	eV/atom
&SYSTEM
  ibrav = 0, nat = 10, ntyp = 4
/
ATOMIC_SPECIES
Nd 144.24 Nd.upf
Be 9.01 Be.upf
Pd 106.42 Pd.upf
Au 196.97 Au.upf
CELL_PARAMETERS angstrom
-4.3142 -4.0542 -1.6746
3.5311 -4.2538 4.2649
-1.6124 -3.2222 5.9749
ATOMIC_POSITIONS angstrom
Nd -3.1119 -5.9047 3.0323
Nd 0.7165 -5.6254 5.5328
Be -0.3915 -4.1540 1.2952
Pd -1.1012 -3.8454 3.3968
Pd -2.5866 -9.5270 6.7697
Pd -0.1574 -7.5757 8.5121
Pd -2.2381 -3.9545 0.0531
Pd 0.1911 -2.0032 1.7955
Pd -1.2943 -7.6847 5.1684
Au 0.0000 0.0000 0.0000

Entry 6:
! Nd2Be3Si4Au PBE optimized geometry; values from VASP
! final energy	-49.8	eV/cell
! magnetic moment	0.0	μB per formula unit
! formation energy from raw total energies	-410	meV/atom
&SYSTEM
  ibrav = 0, nat = 10, ntyp = 4
/
ATOMIC_SPECIES
Nd 144.24 Nd.upf
Be 9.01 Be.upf
Si 28.09 Si.upf
Au 196.97 Au.upf
CELL_PARAMETERS angstrom
4.0611 0.0000 0.0000
0.0000 4.0611 0.0000
0.0000 0.0000 9.9308
ATOMIC_POSITIONS angstrom
Nd 2.0306 0.0000 2.3821
Nd 0.0000 2.0306 7.5487
Be 0.0000 0.0000 4.9654
Be 2.0306 0.0000 8.7101
Be 0.0000 2.0306 1.2208
Si 2.0306 2.0306 0.0000
Si 0.0000 0.0000 0.0000
Si 2.0306 0.0000 6.4240
Si 0.0000 2.0306 3.5069
Au 2.0306 2.0306 4.9654

Entry 7:
! Nd2Be4Si3Au PBE optimized geometry; values from VASP
! final energy	-48.5	eV/cell
! magnetic moment	0.0	μB per formula unit
! formation energy from raw total energies	-451	meV/atom
&SYSTEM
  ibrav = 0, nat = 10, ntyp = 4
/
ATOMIC_SPECIES
Nd 144.24 Nd.upf
Be 9.01 Be.upf
Si 28.09 Si.upf
Au 196.97 Au.upf
CELL_PARAMETERS angstrom
3.9730 0.0000 0.0000
0.0000 3.9730 0.0000
0.0000 0.0000 9.9050
ATOMIC_POSITIONS angstrom
Nd 1.9865 0.0000 2.3910
Nd 0.0000 1.9865 7.5140
Be 1.9865 1.9865 0.0000
Be 0.0000 0.0000 0.0000
Be 1.9865 0.0000 6.2999
Be 0.0000 1.9865 3.6051
Si 0.0000 0.0000 4.9525
Si 1.9865 0.0000 8.6261
Si 0.0000 1.9865 1.2789
Au 1.9865 1.9865 4.9525

Entry 8:
! Nd2BeZnAu6 PBE optimized geometry; values from VASP
! final energy	-38.2	eV/cell
! magnetic moment	0.0	μB per formula unit
! formation energy	-0.4026	eV/atom
&SYSTEM
  ibrav = 0, nat = 10, ntyp = 4
/
ATOMIC_SPECIES
Nd 144.24 Nd.upf
Be 9.01 Be.upf
Zn 65.41 Zn.upf
Au 196.97 Au.upf
CELL_PARAMETERS angstrom
-1.6512 5.0035 4.1468
2.9154 -3.2465 5.0976
4.7341 3.0301 3.5974
ATOMIC_POSITIONS angstrom
Nd 1.8565 4.4564 6.1832
Nd 4.1418 0.3307 6.6587
Be 0.0000 0.0000 0.0000
Zn 0.6321 0.8785 4.6222
Au 2.7949 2.0129 4.0832
Au 0.9719 1.3449 7.0582
Au 1.8363 -1.2955 4.8753
Au 4.1620 6.0826 7.9665
Au 5.0264 3.4422 5.7836
Au 3.2035 2.7742 8.7586

Entry 9:
! NdBeZn2Au4 PBE optimized geometry; values from VASP
! final energy	-27.1	eV/cell
! magnetic moment	0.0	μB per formula unit
! formation energy	-0.3696	eV/atom
&SYSTEM
  ibrav = 0, nat = 8, ntyp = 4
/
ATOMIC_SPECIES
Nd 144.24 Nd.upf
Be 9.01 Be.upf
Zn 65.41 Zn.upf
Au 196.97 Au.upf
CELL_PARAMETERS angstrom
-2.6900 -3.5018 0.5644
1.7253 -4.0302 0.7734
-0.5375 -0.9906 8.8485
ATOMIC_POSITIONS angstrom
Nd 0.0000 0.0000 0.0000
Be -0.7511 -4.2613 5.0931
Zn -1.1228 -6.4188 7.4912
Zn -0.3794 -2.1038 2.6950
Au -0.8134 -3.8226 7.5185
Au -1.0530 -6.9102 4.7750
Au -0.4492 -1.6124 5.4113
Au -0.6888 -4.7001 2.6678

Entry 10:
! BeNi3Au PBE optimized geometry; values from VASP
! final energy	-23.0	eV/cell
! magnetic moment	0.0	μB per formula unit
! ΔE to the lowest computed polymorph	0.000	eV per atom
! formation energy	0.2659	eV/atom
&SYSTEM
  ibrav = 0, nat = 5, ntyp = 3
/
ATOMIC_SPECIES
Ni 58.69 Ni.upf
Au 196.97 Au.upf
Be 9.01 Be.upf
CELL_PARAMETERS angstrom
-0.5510 3.5979 -1.5046
-3.2068 0.4467 2.2426
2.2193 1.5388 2.8669
ATOMIC_POSITIONS angstrom
Ni -1.6034 0.2234 1.1213
Ni 1.1096 0.7694 1.4335
Ni -0.2755 1.7990 -0.7523
Au -0.7693 2.7917 1.8025
Be 0.0000 0.0000 0.0000

Entry 11:
! BeNiAu2 PBE optimized geometry; values from VASP
! final energy	-16.2	eV/cell
! magnetic moment	0.0	μB per formula unit
! formation energy	-0.0436	eV/atom
&SYSTEM
  ibrav = 0, nat = 4, ntyp = 3
/
ATOMIC_SPECIES
Ni 58.69 Ni.upf
Au 196.97 Au.upf
Be 9.01 Be.upf
CELL_PARAMETERS angstrom
-1.1989 -2.5324 -0.7820
1.8391 -1.4078 1.7394
-2.4181 -0.9037 6.6340
ATOMIC_POSITIONS angstrom
Ni -1.0337 -2.9998 5.8891
Au 1.7414 -1.3945 1.8461
Au -0.1918 -1.1690 4.0800
Be -0.7442 -1.8441 1.7024

Entry 12:
! Be4Ni3Au PBE optimized geometry; values from VASP
! final energy	-38.3	eV/cell
! magnetic moment	0.0	μB per formula unit
! formation energy	-0.3432	eV/atom
&SYSTEM
  ibrav = 0, nat = 8, ntyp = 3
/
ATOMIC_SPECIES
Be 9.01 Be.upf
Au 196.97 Au.upf
Ni 58.69 Ni.upf
CELL_PARAMETERS angstrom
2.7238 0.0000 0.0000
0.0000 2.7238 0.0000
0.0000 0.0000 10.7906
ATOMIC_POSITIONS angstrom
Be 0.0000 0.0000 9.0965
Be 0.0000 0.0000 1.6941
Be 0.0000 0.0000 4.1319
Be 0.0000 0.0000 6.6587
Au 1.3619 1.3619 0.0000
Ni 1.3619 1.3619 2.8539
Ni 1.3619 1.3619 5.3953
Ni 1.3619 1.3619 7.9367